Below is AlPdAu3 after structural relaxation, with properties calculated at the PBE level.

Lattice parameters (Å, degrees): 5.058 5.058 5.058 90.00 90.00 90.00
Element x y z (fractional)
Al 0.500 0.500 0.500
Pd 0.000 0.000 0.000
Au 0.000 0.500 0.000
Au 0.500 0.000 0.000
Au 0.000 0.000 0.500

- D(E_F): 2.2 states/eV/f.u.
- Total energy: -3.038 eV per atom
- Energy of formation from the pure elements: 0.72 eV/atom
- Energy relative to the lowest polymorph listed for this composition: 5.13 eV per formula unit



Below is PH2Ru after structural relaxation, with properties calculated at the PBE level.

Lattice parameters (Å, degrees): 3.630 3.630 3.630 60.00 60.00 60.00
Element x y z (fractional)
P 0.000 0.000 0.000
H 0.750 0.750 0.750
Ru 0.500 0.500 0.500
H 0.250 0.250 0.250

- D(E_F): 2.6 states/eV/f.u.
- Total energy: -4.513 eV per atom
- Energy relative to the lowest polymorph listed for this composition: 3.65 eV per formula unit